[1]
An optimized crystal structure of ZnInTe2, computed with PBE-GGA.

Cell: 4.4558 4.4558 8.1675 Å, 90.00 90.00 120.00°
Space group P3m1 (No. 156)
One atom of each set of equivalent atoms:
Zn: 0.0000 0.0000 0.0000
In: 0.6667 0.3333 0.5120
Te: 0.0000 0.0000 0.3310
Te: 0.6667 0.3333 0.8985

Output
The value obtained for the density of states at the Fermi level is 2.972 states/eV/f.u. As for the formation energy without anion corrections: -0.234 eV per atom. The value obtained for the total magnetization is 0.00 μB per formula unit. As for the total energy: -11.23 eV per formula unit.

[2]
An optimized crystal structure of Hf3RuF, computed with PBE-GGA.

Cell: 4.9997 4.9997 4.9997 Å, 90.00 90.00 90.00°
Space group Pm-3m (No. 221)
One atom of each set of equivalent atoms:
Hf: 0.0000 0.0000 0.5000
Ru: 0.0000 0.0000 0.0000
F: 0.5000 0.5000 0.5000

Output
The calculation puts the relative energy among the computed polymorphs at 574.9 meV/atom. The value obtained for the density of states at the Fermi level is 6.012 states/eV/f.u. As for the formation energy without anion corrections: 0.155 eV per atom. The value obtained for the total magnetization is 0.00 μB per formula unit. As for the total energy: -40.23 eV per formula unit.